Here is CeSm2Y after structural relaxation from Alexandria via LeMat-Bulk. Energies are from GGA-PBE.

Summary:
The energy above the most stable polymorph in this dataset comes out at 0.130 eV/atom. The crystal system is cubic. The total moment comes out at 0.821 μB per atom. For the total energy, the calculation gives -84.3 eV/cell. For the formation enthalpy at 0 K, the calculation gives 192.3 meV per atom.

Cell: 8.110 8.110 8.110 Å, 90.00 90.00 90.00°
Space group Fm-3m (No. 225)
Unique sites:
Ce1 0.000 0.000 0.000 x4
Sm1 0.250 0.250 0.250 x8
Y1 0.000 0.000 0.500 x4

***

Here is CeSm3Y6 after structural relaxation from Alexandria via LeMat-Bulk. Energies are from GGA-PBE.

Summary:
The energy above the most stable polymorph in this dataset comes out at 0.105 eV/atom. The crystal system is trigonal. The total moment comes out at 0.263 μB per atom. For the total energy, the calculation gives -168.8 eV/cell. For the formation enthalpy at 0 K, the calculation gives 259.8 meV per atom.

Cell: 9.9537 9.9537 11.5316 Å, 90.00 90.00 120.00°
Space group R3 (No. 146, hexagonal axes)
Unique sites:
Ce1 0.0000 0.0000 0.0000 x3
Sm1 0.0000 0.0000 0.2437 x3
Sm2 0.0000 0.0000 0.5000 x3
Sm3 0.0000 0.0000 0.7563 x3
Y1 0.0000 0.3267 0.9993 x9
Y2 0.0000 0.6712 0.4993 x9

***

Here is CeSm8Y4 after structural relaxation from Alexandria via LeMat-Bulk. Energies are from GGA-PBE.

Summary:
The crystal system is trigonal. The total moment comes out at 0.100 μB per atom. For the total energy, the calculation gives -191.3 eV/cell. For the formation enthalpy at 0 K, the calculation gives 445.4 meV per atom.

Cell: 11.7951 11.7951 11.5105 Å, 90.00 90.00 120.00°
Space group R-3m (No. 166, hexagonal axes)
Unique sites:
Ce1 0.0000 0.0000 0.0000 x3
Sm1 0.0000 0.0000 0.2535 x6
Sm2 0.0011 0.5005 0.1671 x18
Y1 0.0000 0.0000 0.5000 x3
Y2 0.0000 0.5000 0.5000 x9

***

Here is CeSm2Y6 after structural relaxation from Alexandria via LeMat-Bulk. Energies are from GGA-PBE.

Summary:
The energy above the most stable polymorph in this dataset comes out at 0.230 eV/atom. The crystal system is trigonal. The total moment comes out at 0.000 μB per atom. For the total energy, the calculation gives -154.2 eV/cell. For the formation enthalpy at 0 K, the calculation gives 307.1 meV per atom.

Cell: 7.3621 7.3621 19.0543 Å, 90.00 90.00 120.00°
Space group R3m (No. 160, hexagonal axes)
Unique sites:
Ce1 0.0000 0.0000 0.0000 x3
Sm1 0.0000 0.0000 0.5605 x3
Sm2 0.0000 0.0000 0.7366 x3
Y1 0.1717 0.3434 0.8841 x9
Y2 0.1837 0.3674 0.0773 x9

***

Here is CeSm3Y6 after structural relaxation from Alexandria via LeMat-Bulk. Energies are from GGA-PBE.

Summary:
The energy above the most stable polymorph in this dataset comes out at 0.000 eV/atom. The crystal system is orthorhombic. The total moment comes out at 0.033 μB per atom. For the total energy, the calculation gives -229.3 eV/cell. For the formation enthalpy at 0 K, the calculation gives 154.5 meV per atom.

Cell: 10.674 19.238 6.377 Å, 90.00 90.00 90.00°
Space group Cmc2_1 (No. 36)
Unique sites:
Ce1 0.000 0.212 0.000 x4
Sm1 0.000 0.386 0.100 x4
Sm2 0.180 0.119 0.785 x8
Y1 0.000 0.051 0.327 x4
Y2 0.000 0.302 0.554 x4
Y3 0.171 0.461 0.666 x8
Y4 0.229 0.203 0.334 x8

***

Here is CeSmY after structural relaxation from Alexandria via LeMat-Bulk. Energies are from GGA-PBE.

Summary:
The energy above the most stable polymorph in this dataset comes out at 0.006 eV/atom. The crystal system is tetragonal. The total moment comes out at 0.139 μB per atom. For the total energy, the calculation gives -33.8 eV/cell. For the formation enthalpy at 0 K, the calculation gives 78.6 meV per atom.

Cell: 3.555 3.555 15.047 Å, 90.00 90.00 90.00°
Space group I4mm (No. 107)
Unique sites:
Ce1 0.000 0.000 0.000 x2
Sm1 0.000 0.000 0.661 x2
Y1 0.000 0.000 0.339 x2